1.
Computed, not measured: a relaxed YGa2Pb2 crystal at the PBE level of DFT.

Cell and atoms, written as POSCAR:
```
YGa2Pb2
1.0
8.409 0.000 0.000
0.000 8.409 0.000
0.000 0.000 3.704
Y Ga Pb
2 4 4
direct
0.000 0.000 0.000
0.500 0.500 0.000
0.160 0.340 0.500
0.340 0.840 0.500
0.660 0.160 0.500
0.840 0.660 0.500
0.137 0.637 0.000
0.363 0.137 0.000
0.637 0.863 0.000
0.863 0.363 0.000
```

Results
**Space group**: No. 127
**E_tot**: -40.17 eV/cell
**ΔE to the lowest computed polymorph**: 0.147 eV/atom
**DFT formation energy**: -30 meV per atom
**Total magnetic moment**: 0.00 μB per formula unit

***

2.
Computed, not measured: a relaxed LiThSb crystal at the PBE level of DFT.

Cell and atoms, written as POSCAR:
```
LiThSb
1.0
4.173 0.000 0.000
0.000 4.173 0.000
0.000 0.000 9.151
Li Th Sb
2 2 2
direct
0.000 0.000 0.000
0.500 0.500 0.500
0.000 0.000 0.659
0.500 0.500 0.159
0.000 0.000 0.312
0.500 0.500 0.812
```

Results
**Space group**: No. 107
**E_tot**: -28.65 eV/cell
**ΔE to the lowest computed polymorph**: 0.394 eV/atom
**Total magnetic moment**: 0.00 μB per formula unit

***

3.
Computed, not measured: a relaxed Tb2SmEr6Sc crystal at the PBE level of DFT.

Cell and atoms, written as POSCAR:
```
Tb2SmEr6Sc
1.0
4.490 -7.375 0.000
4.490 7.375 0.000
-1.225 0.000 9.316
Tb Sm Er Sc
4 2 12 2
direct
0.196 0.299 0.452
0.299 0.196 0.952
0.701 0.804 0.048
0.804 0.701 0.548
0.478 0.522 0.750
0.522 0.478 0.250
0.008 0.793 0.884
0.065 0.509 0.689
0.207 0.992 0.616
0.249 0.627 0.057
0.373 0.751 0.443
0.491 0.935 0.811
0.509 0.065 0.189
0.627 0.249 0.557
0.751 0.373 0.943
0.793 0.008 0.384
0.935 0.491 0.311
0.992 0.207 0.116
0.088 0.912 0.250
0.912 0.088 0.750
```

Results
**Space group**: No. 15
**E_tot**: -92.85 eV/cell
**DFT formation energy**: 127 meV per atom
**Total magnetic moment**: 0.00 μB per formula unit

***

4.
Computed, not measured: a relaxed HoThP2 crystal at the PBE level of DFT.

Cell and atoms, written as POSCAR:
```
HoThP2
1.0
4.056 0.000 0.000
-2.028 3.513 0.000
0.000 0.000 13.362
Ho Th P
2 2 4
direct
0.333 0.667 0.250
0.667 0.333 0.750
0.000 0.000 0.000
0.000 0.000 0.500
0.333 0.667 0.627
0.333 0.667 0.873
0.667 0.333 0.127
0.667 0.333 0.373
```

Results
**Space group**: No. 194
**E_tot**: -57.85 eV/cell
**ΔE to the lowest computed polymorph**: 0.055 eV/atom
**DFT formation energy**: -1527 meV per atom
**Total magnetic moment**: 0.00 μB per formula unit

***

5.
Computed, not measured: a relaxed AcSnAs crystal at the PBE level of DFT.

Cell and atoms, written as POSCAR:
```
AcSnAs
1.0
7.324 0.000 0.000
0.000 7.324 0.000
0.000 0.000 7.324
Ac Sn As
4 4 4
direct
0.023 0.477 0.523
0.477 0.523 0.023
0.523 0.023 0.477
0.977 0.977 0.977
0.013 0.987 0.487
0.487 0.013 0.987
0.513 0.513 0.513
0.987 0.487 0.013
0.222 0.778 0.278
0.278 0.222 0.778
0.722 0.722 0.722
0.778 0.278 0.222
```

Results
**Space group**: No. 198
**E_tot**: -57.79 eV/cell
**ΔE to the lowest computed polymorph**: 0.117 eV/atom
**DFT formation energy**: -562 meV per atom
**Total magnetic moment**: 0.00 μB per formula unit

***

6.
Computed, not measured: a relaxed La16Nd7Sm6 crystal at the PBE level of DFT.

Cell and atoms, written as POSCAR:
```
La16Nd7Sm6
1.0
0.000 8.096 8.096
8.096 0.000 8.096
8.096 8.096 0.000
La Nd Sm
16 7 6
direct
0.034 0.655 0.655
0.121 0.121 0.121
0.121 0.121 0.636
0.121 0.636 0.121
0.345 0.345 0.345
0.345 0.345 0.966
0.345 0.966 0.345
0.364 0.879 0.879
0.636 0.121 0.121
0.655 0.034 0.655
0.655 0.655 0.034
0.655 0.655 0.655
0.879 0.364 0.879
0.879 0.879 0.364
0.879 0.879 0.879
0.966 0.345 0.345
0.000 0.000 0.000
0.000 0.000 0.500
0.000 0.500 0.000
0.000 0.500 0.500
0.500 0.000 0.000
0.500 0.000 0.500
0.500 0.500 0.000
0.293 0.293 0.707
0.293 0.707 0.293
0.293 0.707 0.707
0.707 0.293 0.293
0.707 0.293 0.707
0.707 0.707 0.293
```

Results
**Space group**: No. 225
**E_tot**: -135.00 eV/cell
**DFT formation energy**: 191 meV per atom
**Total magnetic moment**: 0.00 μB per formula unit

***

7.
Computed, not measured: a relaxed Sb2SeI crystal at the PBE level of DFT.

Cell and atoms, written as POSCAR:
```
Sb2SeI
1.0
7.568 0.000 0.000
0.000 7.568 0.000
0.000 0.000 7.568
Sb Se I
8 4 4
direct
0.250 0.250 0.250
0.250 0.250 0.750
0.250 0.750 0.250
0.250 0.750 0.750
0.750 0.250 0.250
0.750 0.250 0.750
0.750 0.750 0.250
0.750 0.750 0.750
0.000 0.000 0.000
0.000 0.500 0.500
0.500 0.000 0.500
0.500 0.500 0.000
0.000 0.000 0.500
0.000 0.500 0.000
0.500 0.000 0.000
0.500 0.500 0.500
```

Results
**Space group**: No. 225
**E_tot**: -47.66 eV/cell
**ΔE to the lowest computed polymorph**: 0.159 eV/atom
**Total magnetic moment**: 0.00 μB per formula unit

***

8.
Computed, not measured: a relaxed Y2Mg3 crystal at the PBE level of DFT.

Cell and atoms, written as POSCAR:
```
Y2Mg3
1.0
3.505 0.000 0.000
-1.753 3.036 0.000
0.000 0.000 39.376
Y Mg
6 9
direct
0.000 0.000 0.099
0.000 0.000 0.901
0.333 0.667 0.568
0.333 0.667 0.765
0.667 0.333 0.235
0.667 0.333 0.432
0.000 0.000 0.303
0.000 0.000 0.500
0.000 0.000 0.697
0.333 0.667 0.167
0.333 0.667 0.364
0.333 0.667 0.969
0.667 0.333 0.031
0.667 0.333 0.636
0.667 0.333 0.833
```

Results
**Space group**: No. 166
**E_tot**: -52.61 eV/cell
**ΔE to the lowest computed polymorph**: 0.125 eV/atom
**DFT formation energy**: 35 meV per atom
**Total magnetic moment**: 0.00 μB per formula unit